1.
Computed, not measured: crystalline Pr9NdHo2 at its relaxed geometry at the PBE level of DFT.

Cell: 5.201 5.201 15.610 Å, 90.00 90.00 90.00°
Positions (direct):
Pr  0.500  0.000  0.831
Pr  0.000  0.500  0.169
Pr  0.500  0.000  0.500
Pr  0.500  0.000  0.169
Pr  0.500  0.500  0.665
Pr  0.500  0.500  0.000
Pr  0.000  0.500  0.500
Pr  0.500  0.500  0.335
Pr  0.000  0.500  0.831
Nd  0.000  0.000  0.000
Ho  0.000  0.000  0.335
Ho  0.000  0.000  0.665

Properties
symmetry: P4/mmm
total DFT energy (no corrections): -4.730 eV/atom
DOS(E_F): 20.71 states/eV/cell
ΔE_f: 15 meV/atom
theoretical density: 6.85 g/cm³
M_tot: 0.00 μB/f.u.

2.
Computed, not measured: crystalline PmHo5Bi5 at its relaxed geometry at the PBE level of DFT.

Cell: 6.287 7.638 8.855 Å, 106.57 90.00 114.30°
Positions (direct):
Ho  0.335  0.670  0.169
Ho  0.000  0.000  0.500
Ho  0.339  0.678  0.664
Ho  0.661  0.322  0.336
Ho  0.665  0.330  0.831
Bi  0.169  0.338  0.340
Bi  0.172  0.344  0.829
Bi  0.500  0.000  0.000
Bi  0.831  0.662  0.660
Bi  0.828  0.656  0.171
Pm  0.000  0.000  0.000

Properties
symmetry: C2/m
total DFT energy (no corrections): -4.929 eV/atom
DOS(E_F): 4.06 states/eV/cell
ΔE_f: -653 meV/atom
theoretical density: 9.09 g/cm³
M_tot: 0.00 μB/f.u.

3.
Computed, not measured: crystalline Mg2CoH6Rh at its relaxed geometry at the PBE level of DFT.

Cell: 4.790 4.790 4.782 Å, 119.79 119.80 90.19°
Positions (direct):
H  0.782  0.785  0.046
H  0.736  0.736  0.523
H  0.761  0.241  0.000
H  0.264  0.265  0.477
H  0.239  0.760  0.001
H  0.217  0.215  0.952
Mg  0.250  0.750  0.500
Mg  0.750  0.251  0.500
Co  0.000  0.000  0.000
Rh  0.500  0.500  0.000

Properties
symmetry: P-1
total DFT energy (no corrections): -4.024 eV/atom
DOS(E_F): 2.50 states/eV/cell
theoretical density: 4.61 g/cm³
M_tot: 0.00 μB/f.u.

4.
Computed, not measured: crystalline MgSiO3 at its relaxed geometry at the PBE level of DFT.

Cell: 6.533 6.533 5.062 Å, 80.57 80.57 86.46°
Positions (direct):
O  0.213  0.029  0.858
O  0.387  0.855  0.368
O  0.295  0.408  0.573
O  0.855  0.387  0.868
O  0.705  0.592  0.427
O  0.029  0.213  0.358
O  0.787  0.971  0.142
O  0.613  0.145  0.632
O  0.145  0.613  0.132
O  0.408  0.295  0.073
O  0.971  0.787  0.642
O  0.592  0.705  0.927
Mg  0.097  0.903  0.250
Mg  0.730  0.270  0.250
Mg  0.270  0.730  0.750
Mg  0.903  0.097  0.750
Si  0.793  0.612  0.718
Si  0.612  0.793  0.218
Si  0.207  0.388  0.282
Si  0.388  0.207  0.782

Properties
symmetry: C2/c
total DFT energy (no corrections): -7.178 eV/atom
DOS(E_F): 0.00 states/eV/cell
formation energy without anion corrections: -2.80 eV/atom
theoretical density: 3.17 g/cm³
M_tot: 0.00 μB/f.u.

5.
Computed, not measured: crystalline Ba2SmHoSe4 at its relaxed geometry at the PBE level of DFT.

Cell: 4.320 7.469 7.804 Å, 108.67 90.00 90.00°
Positions (direct):
Sm  0.500  0.500  0.000
Ba  0.000  0.500  0.500
Ba  0.500  0.000  0.500
Se  0.000  0.256  0.784
Se  0.500  0.232  0.213
Se  0.000  0.744  0.216
Se  0.500  0.768  0.787
Ho  0.000  0.000  0.000

Properties
symmetry: P2/m
total DFT energy (no corrections): -5.269 eV/atom
DOS(E_F): 3.74 states/eV/cell
formation energy without anion corrections: -1.88 eV/atom
theoretical density: 6.31 g/cm³
M_tot: 0.00 μB/f.u.

6.
Computed, not measured: crystalline LiCe3Pt8 at its relaxed geometry at the PBE level of DFT.

Cell: 5.433 5.433 9.433 Å, 73.26 73.26 60.00°
Last column: magnetic moment on the atom in μB.
Positions (direct):
Pt  0.688  0.688  0.935  -0.04
Pt  0.188  0.188  0.435  -0.04
Pt  0.437  0.437  0.187  -0.04
Pt  0.940  0.437  0.187  -0.04
Pt  0.437  0.940  0.187  -0.04
Pt  0.938  0.938  0.684  -0.04
Pt  0.439  0.938  0.684  -0.04
Pt  0.938  0.439  0.684  -0.04
Li  0.868  0.868  0.397  0.00
Ce  0.992  0.992  0.024  0.54
Ce  0.506  0.506  0.482  0.47
Ce  0.378  0.378  0.865  0.65

Properties
symmetry: R3m
total DFT energy (no corrections): -6.630 eV/atom
DOS(E_F): 16.67 states/eV/cell
ΔE_f: -960 meV/atom
theoretical density: 14.51 g/cm³
M_tot: 1.61 μB/f.u.